# Fe2AgSnRh | the Alexandria database | PBE | relaxed
data_Fe2AgSnRh
_chemical_formula_sum 'Fe2 Ag1 Sn1 Rh1'
_space_group_name_H-M_alt 'P 4/m m m'
_space_group_IT_number 123
_space_group_name_Hall '-P 4 2'
_cell_length_a 4.760
_cell_length_b 4.760
_cell_length_c 4.949
_cell_angle_alpha 90.00
_cell_angle_beta 90.00
_cell_angle_gamma 90.00
loop_
_atom_site_label
_atom_site_type_symbol
_atom_site_fract_x
_atom_site_fract_y
_atom_site_fract_z
_atom_site_occupancy
Fe1 Fe 0.000 0.500 0.000 1
Ag1 Ag 0.000 0.000 0.500 1
Sn1 Sn 0.000 0.000 0.000 1
Rh1 Rh 0.500 0.500 0.500 1
# Crystal system: tetragonal
# ρ (g/cm3): 6.5
# ΔE_f (eV per atom): 1.5214
# VASP energy (eV for the cell shown): -23.5

=====

# FeTc2AgRh | the Alexandria database | PBE | relaxed
data_FeTc2AgRh
_chemical_formula_sum 'Fe1 Tc2 Ag1 Rh1'
_space_group_name_H-M_alt 'P 4/m m m'
_space_group_IT_number 123
_space_group_name_Hall '-P 4 2'
_cell_length_a 4.694
_cell_length_b 4.694
_cell_length_c 4.441
_cell_angle_alpha 90.00
_cell_angle_beta 90.00
_cell_angle_gamma 90.00
loop_
_atom_site_label
_atom_site_type_symbol
_atom_site_fract_x
_atom_site_fract_y
_atom_site_fract_z
_atom_site_occupancy
Fe1 Fe 0.000 0.000 0.000 1
Tc1 Tc 0.000 0.500 0.500 1
Ag1 Ag 0.000 0.000 0.500 1
Rh1 Rh 0.500 0.500 0.000 1
# Crystal system: tetragonal
# ρ (g/cm3): 7.9
# ΔE_f (eV per atom): 2.6400
# VASP energy (eV for the cell shown): -26.2

=====

# FeAgTe2Rh | the Alexandria database | PBE | relaxed
data_FeAgTe2Rh
_chemical_formula_sum 'Fe1 Ag1 Te2 Rh1'
_space_group_name_H-M_alt 'P 4/m m m'
_space_group_IT_number 123
_space_group_name_Hall '-P 4 2'
_cell_length_a 4.760
_cell_length_b 4.760
_cell_length_c 4.867
_cell_angle_alpha 90.00
_cell_angle_beta 90.00
_cell_angle_gamma 90.00
loop_
_atom_site_label
_atom_site_type_symbol
_atom_site_fract_x
_atom_site_fract_y
_atom_site_fract_z
_atom_site_occupancy
Fe1 Fe 0.000 0.000 0.000 1
Ag1 Ag 0.000 0.000 0.500 1
Te1 Te 0.000 0.500 0.000 1
Rh1 Rh 0.500 0.500 0.500 1
# Crystal system: tetragonal
# ρ (g/cm3): 7.9
# VASP energy (eV for the cell shown): -20.8
# Uncorrected formation energy (eV per atom): 0.82